[1]
{"formula": "TiPd", "functional": "PBEsol", "state": "optimized geometry", "lattice_angstrom": [[3.129, 0.000, 0.000], [0.000, 3.129, 0.000], [0.000, 0.000, 3.129]], "species": ["Ti", "Pd"], "frac_coords": [[0.000, 0.000, 0.000], [0.500, 0.500, 0.500]], "total_magnetization_mub_per_atom": 0.00, "space_group": "Pm-3m, No. 221", "delta_e_f_ev_per_atom": -0.469}

***

[2]
{"formula": "Ti3Pd", "functional": "PBEsol", "state": "optimized geometry", "lattice_angstrom": [[4.988, 0.000, 0.000], [0.000, 4.988, 0.000], [0.000, 0.000, 4.988]], "species": ["Ti", "Ti", "Ti", "Ti", "Ti", "Ti", "Pd", "Pd"], "frac_coords": [[0.000, 0.250, 0.500], [0.000, 0.750, 0.500], [0.250, 0.500, 0.000], [0.500, 0.000, 0.250], [0.500, 0.000, 0.750], [0.750, 0.500, 0.000], [0.000, 0.000, 0.000], [0.500, 0.500, 0.500]], "total_magnetization_mub_per_atom": 0.00, "space_group": "Pm-3n, No. 223", "delta_e_f_ev_per_atom": -0.362}

***

[3]
{"formula": "TiPd", "functional": "PBEsol", "state": "optimized geometry", "lattice_angstrom": [[2.785, 0.000, 0.000], [0.000, 2.785, 0.000], [0.000, 0.000, 3.838]], "species": ["Ti", "Pd"], "frac_coords": [[0.000, 0.000, 0.000], [0.500, 0.500, 0.500]], "total_magnetization_mub_per_atom": 0.00, "space_group": "P4/mmm, No. 123", "delta_e_f_ev_per_atom": -0.554}

***

[4]
{"formula": "Ti3PdW", "functional": "PBEsol", "state": "optimized geometry", "lattice_angstrom": [[4.668, 0.000, 0.000], [0.000, 4.668, 0.000], [0.000, 0.000, 4.668]], "species": ["Ti", "Ti", "Ti", "Pd", "W"], "frac_coords": [[0.000, 0.000, 0.500], [0.000, 0.500, 0.000], [0.500, 0.000, 0.000], [0.500, 0.500, 0.500], [0.000, 0.000, 0.000]], "total_magnetization_mub_per_atom": 0.00, "space_group": "Pm-3m, No. 221", "delta_e_f_ev_per_atom": 0.991}

***

[5]
{"formula": "TiZn2Pd", "functional": "PBEsol", "state": "optimized geometry", "lattice_angstrom": [[0.000, 3.040, 3.040], [3.040, 0.000, 3.040], [3.040, 3.040, 0.000]], "species": ["Ti", "Zn", "Zn", "Pd"], "frac_coords": [[0.000, 0.000, 0.000], [0.250, 0.250, 0.250], [0.750, 0.750, 0.750], [0.500, 0.500, 0.500]], "total_magnetization_mub_per_atom": 0.00, "space_group": "Fm-3m, No. 225", "delta_e_f_ev_per_atom": -0.397}

***

[6]
{"formula": "TiZnPd2", "functional": "PBEsol", "state": "optimized geometry", "lattice_angstrom": [[0.000, 3.065, 3.065], [3.065, 0.000, 3.065], [3.065, 3.065, 0.000]], "species": ["Ti", "Zn", "Pd", "Pd"], "frac_coords": [[0.000, 0.000, 0.000], [0.500, 0.500, 0.500], [0.250, 0.250, 0.250], [0.750, 0.750, 0.750]], "total_magnetization_mub_per_atom": 0.00, "space_group": "Fm-3m, No. 225", "delta_e_f_ev_per_atom": -0.588}

***

| no. | DFT total energy (eV for the cell shown) |
| --- | --- |
| 1 | -15.22 |
| 2 | -64.74 |
| 3 | -15.39 |
| 4 | -39.78 |
| 5 | -19.03 |
| 6 | -24.17 |